*P*
Entry from Alexandria: crystalline KGa3Au at its relaxed geometry (PBE).

abc: 5.731 5.731 5.731
angles: 90.00 90.00 90.00
Atoms (fractional coordinates):
K1 0.000 0.000 0.000
Ga1 0.000 0.000 0.500
Ga2 0.000 0.500 0.000
Ga3 0.500 0.000 0.000
Au1 0.500 0.500 0.500

Values from the calculation:
SG   Pm-3m (221)



*Q*
Entry from Alexandria: crystalline KGa3Au at its relaxed geometry (PBE).

abc: 8.788 8.788 6.535
angles: 100.20 100.20 68.33
Atoms (fractional coordinates):
K1 0.019 0.981 0.750
K2 0.359 0.641 0.250
K3 0.641 0.359 0.750
K4 0.981 0.019 0.250
Ga1 0.017 0.360 0.626
Ga2 0.032 0.349 0.068
Ga3 0.288 0.323 0.394
Ga4 0.323 0.288 0.894
Ga5 0.349 0.032 0.568
Ga6 0.360 0.017 0.126
Ga7 0.640 0.983 0.874
Ga8 0.651 0.968 0.432
Ga9 0.677 0.712 0.106
Ga10 0.712 0.677 0.606
Ga11 0.968 0.651 0.932
Ga12 0.983 0.640 0.374
Au1 0.223 0.575 0.712
Au2 0.425 0.777 0.788
Au3 0.575 0.223 0.212
Au4 0.777 0.425 0.288

Values from the calculation:
SG   C2/c (15)



*R*
Entry from Alexandria: crystalline KGa3Au at its relaxed geometry (PBE).

abc: 5.180 5.180 5.180
angles: 90.00 90.00 90.00
Atoms (fractional coordinates):
K1 0.000 0.000 0.000
Ga1 0.000 0.500 0.500
Ga2 0.500 0.000 0.500
Ga3 0.500 0.500 0.000
Au1 0.500 0.500 0.500

Values from the calculation:
SG   Pm-3m (221)



The structures above, arranged from the most stable to the least stable: *Q*, *R*, *P*.